Entry from the Alexandria database: a relaxed KZrCo crystal (PBE).

a b c (Å): 6.4947 6.4947 6.4947
angles (deg): 90.00 90.00 90.00
Element x y z (fractional)
K 0.0000 0.0000 0.0000
K 0.0000 0.5000 0.5000
K 0.5000 0.0000 0.5000
K 0.5000 0.5000 0.0000
Zr 0.2500 0.2500 0.7500
Zr 0.2500 0.7500 0.2500
Zr 0.7500 0.2500 0.2500
Zr 0.7500 0.7500 0.7500
Co 0.2500 0.2500 0.2500
Co 0.2500 0.7500 0.7500
Co 0.7500 0.2500 0.7500
Co 0.7500 0.7500 0.2500

Properties
For the formation energy, the calculation gives 2079 meV per atom. The density is 4.59 g/cm³.

---

Entry from the Alexandria database: a relaxed CsCuAg2C4N4 crystal (PBE).

a b c (Å): 7.6202 8.0392 8.3708
angles (deg): 90.00 103.77 90.00
Element x y z (fractional)
Cs 0.0000 0.2460 0.2500
Cs 0.0000 0.7540 0.7500
Cu 0.0000 0.2544 0.7500
Cu 0.0000 0.7456 0.2500
Ag 0.5000 0.0000 0.0000
Ag 0.5000 0.0000 0.5000
Ag 0.5000 0.4181 0.2500
Ag 0.5000 0.5819 0.7500
C 0.2889 0.0830 0.5944
C 0.2889 0.9170 0.0944
C 0.2942 0.4008 0.0405
C 0.2942 0.5992 0.5405
C 0.7058 0.4008 0.4595
C 0.7058 0.5992 0.9595
C 0.7111 0.0830 0.9056
C 0.7111 0.9170 0.4056
N 0.1687 0.1334 0.6465
N 0.1687 0.8666 0.1465
N 0.1732 0.3745 0.9266
N 0.1732 0.6255 0.4266
N 0.8268 0.3745 0.5734
N 0.8268 0.6255 0.0734
N 0.8313 0.1334 0.8535
N 0.8313 0.8666 0.3535

Properties
As for the uncorrected formation energy: 0.19 eV per atom. The density is 3.44 g/cm³.